{"formula": "IrWF2", "functional": "PBE+U", "state": "relaxed", "de_polymorph_ev_per_atom": 0.2899, "mass_density_g_cm3": 11.856, "vol_a3_per_atom": 14.50, "cell": [[-1.889, 1.889, 8.130], [1.889, -1.889, 8.130], [1.889, 1.889, -8.130]], "species": ["Ir", "Ir", "W", "W", "F", "F", "F", "F"], "frac_coords": [[0.000, 0.000, 0.000], [0.750, 0.250, 0.500], [0.250, 0.750, 0.500], [0.500, 0.500, 0.000], [0.140, 0.625, 0.015], [0.375, 0.390, 0.515], [0.610, 0.125, 0.985], [0.875, 0.860, 0.485]]}